# BeTlI4 PBE optimized geometry
data_BeTlI4
_space_group_name_H-M_alt 'I -4'
_space_group_IT_number 82
_cell_length_a 6.6184
_cell_length_b 6.6184
_cell_length_c 12.0495
_cell_angle_alpha 90.00
_cell_angle_beta 90.00
_cell_angle_gamma 90.00
loop_
_space_group_symop_operation_xyz
'x,y,z'
'y,-x,-z'
'-x,-y,z'
'-y,x,-z'
'x+1/2,y+1/2,z+1/2'
'y+1/2,-x+1/2,-z+1/2'
'-x+1/2,-y+1/2,z+1/2'
'-y+1/2,x+1/2,-z+1/2'
loop_
_atom_site_label
_atom_site_type_symbol
_atom_site_fract_x
_atom_site_fract_y
_atom_site_fract_z
Be1 Be 0.0000 0.0000 0.0000
Tl1 Tl 0.0000 0.5000 0.2500
I1 I 0.1787 0.2478 0.8896
# - Formation energy without anion corrections: -0.424 eV per atom
# - Size of the total moment: 0.00 μB per formula unit
# - N(E_F): 0.737 states/eV/atom
# - Raw total energy: -29.68 eV per cell

=====

# TbAlF6 PBE optimized geometry
data_TbAlF6
_space_group_name_H-M_alt 'C 1 2/m 1'
_space_group_IT_number 12
_cell_length_a 5.2891
_cell_length_b 8.0847
_cell_length_c 4.9797
_cell_angle_alpha 90.00
_cell_angle_beta 101.82
_cell_angle_gamma 90.00
loop_
_space_group_symop_operation_xyz
'x,y,z'
'-x,-y,-z'
'-x,y,-z'
'x,-y,z'
'x+1/2,y+1/2,z'
'-x+1/2,-y+1/2,-z'
'-x+1/2,y+1/2,-z'
'x+1/2,-y+1/2,z'
loop_
_atom_site_label
_atom_site_type_symbol
_atom_site_fract_x
_atom_site_fract_y
_atom_site_fract_z
Tb1 Tb 0.0000 0.0000 0.0000
Al1 Al 0.0000 0.5000 0.5000
F1 F 0.1839 0.3480 0.7386
F2 F 0.2444 0.0000 0.6944
# - Formation energy without anion corrections: -3.755 eV per atom
# - Size of the total moment: 0.00 μB per formula unit
# - N(E_F): 0.000 states/eV/atom
# - Raw total energy: -99.28 eV per cell

=====

# CsPuAgO5 PBE optimized geometry
data_CsPuAgO5
_space_group_name_H-M_alt 'C 1 2/c 1'
_space_group_IT_number 15
_cell_length_a 7.6215
_cell_length_b 10.7986
_cell_length_c 8.2363
_cell_angle_alpha 90.00
_cell_angle_beta 112.77
_cell_angle_gamma 90.00
loop_
_space_group_symop_operation_xyz
'x,y,z'
'-x,-y,-z'
'-x,y,-z+1/2'
'x,-y,z+1/2'
'x+1/2,y+1/2,z'
'-x+1/2,-y+1/2,-z'
'-x+1/2,y+1/2,-z+1/2'
'x+1/2,-y+1/2,z+1/2'
loop_
_atom_site_label
_atom_site_type_symbol
_atom_site_fract_x
_atom_site_fract_y
_atom_site_fract_z
Cs1 Cs 0.0000 0.1732 0.2500
Pu1 Pu 0.0000 0.5000 0.0000
Ag1 Ag 0.0000 0.1842 0.7500
O1 O 0.0000 0.4505 0.2500
O2 O 0.0695 0.3331 0.5814
O3 O 0.2367 0.0492 0.9141
# - Formation energy without anion corrections: -1.632 eV per atom
# - Size of the total moment: 0.18 μB per formula unit
# - N(E_F): 0.644 states/eV/atom
# - Raw total energy: -223.53 eV per cell

=====

# Zn3InH PBE optimized geometry
data_Zn3InH
_space_group_name_H-M_alt 'P m -3 m'
_space_group_IT_number 221
_space_group_name_Hall '-P 4 2 3'
_cell_length_a 4.2420
_cell_length_b 4.2420
_cell_length_c 4.2420
_cell_angle_alpha 90.00
_cell_angle_beta 90.00
_cell_angle_gamma 90.00
loop_
_atom_site_label
_atom_site_type_symbol
_atom_site_fract_x
_atom_site_fract_y
_atom_site_fract_z
Zn1 Zn 0.0000 0.0000 0.5000
In1 In 0.5000 0.5000 0.5000
H1 H 0.0000 0.0000 0.0000
# - Size of the total moment: 0.00 μB per formula unit
# - N(E_F): 0.347 states/eV/atom
# - Raw total energy: -8.45 eV per cell
# - Polymorph energy (0 for the lowest one): 0.000 eV per atom

=====

# CsInSeCl2 PBE optimized geometry
data_CsInSeCl2
_space_group_name_H-M_alt 'P 4/m m m'
_space_group_IT_number 123
_space_group_name_Hall '-P 4 2'
_cell_length_a 5.4602
_cell_length_b 5.4602
_cell_length_c 5.2535
_cell_angle_alpha 90.00
_cell_angle_beta 90.00
_cell_angle_gamma 90.00
loop_
_atom_site_label
_atom_site_type_symbol
_atom_site_fract_x
_atom_site_fract_y
_atom_site_fract_z
Cs1 Cs 0.0000 0.0000 0.0000
In1 In 0.5000 0.5000 0.5000
Se1 Se 0.5000 0.5000 0.0000
Cl1 Cl 0.0000 0.5000 0.5000
# - Formation energy without anion corrections: -1.093 eV per atom
# - Size of the total moment: 0.00 μB per formula unit
# - N(E_F): 0.939 states/eV/atom
# - Raw total energy: -16.24 eV per cell

=====

# Zr2BeTe PBE optimized geometry
data_Zr2BeTe
_space_group_name_H-M_alt 'P 1 m 1'
_space_group_IT_number 6
_cell_length_a 3.8919
_cell_length_b 3.8029
_cell_length_c 5.5739
_cell_angle_alpha 90.00
_cell_angle_beta 110.32
_cell_angle_gamma 90.00
loop_
_space_group_symop_operation_xyz
'x,y,z'
'x,-y,z'
loop_
_atom_site_label
_atom_site_type_symbol
_atom_site_fract_x
_atom_site_fract_y
_atom_site_fract_z
Zr1 Zr 0.0000 0.0000 0.0000
Zr2 Zr 0.3065 0.5000 0.6187
Be1 Be 0.7519 0.0000 0.5115
Te1 Te 0.5949 0.5000 0.1914
# - Formation energy without anion corrections: -0.421 eV per atom
# - Size of the total moment: 0.00 μB per formula unit
# - N(E_F): 0.304 states/eV/atom
# - Raw total energy: -25.65 eV per cell
# - Polymorph energy (0 for the lowest one): 0.000 eV per atom

=====

# CdCuSi2Tc PBE optimized geometry
data_CdCuSi2Tc
_space_group_name_H-M_alt 'P 4/m m m'
_space_group_IT_number 123
_space_group_name_Hall '-P 4 2'
_cell_length_a 4.3615
_cell_length_b 4.3615
_cell_length_c 4.9524
_cell_angle_alpha 90.00
_cell_angle_beta 90.00
_cell_angle_gamma 90.00
loop_
_atom_site_label
_atom_site_type_symbol
_atom_site_fract_x
_atom_site_fract_y
_atom_site_fract_z
Cd1 Cd 0.0000 0.0000 0.0000
Cu1 Cu 0.5000 0.5000 0.5000
Si1 Si 0.0000 0.5000 0.5000
Tc1 Tc 0.5000 0.5000 0.0000
# - Formation energy without anion corrections: 0.909 eV per atom
# - Size of the total moment: 2.66 μB per formula unit
# - N(E_F): 0.583 states/eV/atom
# - Raw total energy: -21.68 eV per cell

=====

# CoSn4Au PBE optimized geometry
data_CoSn4Au
_space_group_name_H-M_alt 'C 1 2/c 1'
_space_group_IT_number 15
_cell_length_a 8.5419
_cell_length_b 12.6031
_cell_length_c 5.7814
_cell_angle_alpha 90.00
_cell_angle_beta 118.95
_cell_angle_gamma 90.00
loop_
_space_group_symop_operation_xyz
'x,y,z'
'-x,-y,-z'
'-x,y,-z+1/2'
'x,-y,z+1/2'
'x+1/2,y+1/2,z'
'-x+1/2,-y+1/2,-z'
'-x+1/2,y+1/2,-z+1/2'
'x+1/2,-y+1/2,z+1/2'
loop_
_atom_site_label
_atom_site_type_symbol
_atom_site_fract_x
_atom_site_fract_y
_atom_site_fract_z
Co1 Co 0.0000 0.0009 0.2500
Sn1 Sn 0.1238 0.1666 0.0945
Sn2 Sn 0.2059 0.4339 0.2952
Au1 Au 0.0000 0.3501 0.7500
# - Size of the total moment: 0.34 μB per formula unit
# - Formation energy from the elements: -0.09 eV/f.u.
# - N(E_F): 0.596 states/eV/atom
# - Raw total energy: -105.95 eV per cell
# - Polymorph energy (0 for the lowest one): 0.065 eV per atom

=====

# CaTe2Cl PBE optimized geometry
data_CaTe2Cl
_space_group_name_H-M_alt 'P 1 m 1'
_space_group_IT_number 6
_cell_length_a 5.8990
_cell_length_b 4.8260
_cell_length_c 7.0751
_cell_angle_alpha 90.00
_cell_angle_beta 92.01
_cell_angle_gamma 90.00
loop_
_space_group_symop_operation_xyz
'x,y,z'
'x,-y,z'
loop_
_atom_site_label
_atom_site_type_symbol
_atom_site_fract_x
_atom_site_fract_y
_atom_site_fract_z
Ca1 Ca 0.0000 0.0000 0.0000
Te1 Te 0.5076 0.0000 0.8490
Te2 Te 0.6438 0.5000 0.6743
Cl1 Cl 0.0718 0.5000 0.1585
# - Formation energy without anion corrections: -0.999 eV per atom
# - Size of the total moment: 0.00 μB per formula unit
# - N(E_F): 0.433 states/eV/atom
# - Raw total energy: -14.13 eV per cell
# - Polymorph energy (0 for the lowest one): 0.082 eV per atom

=====

# NaCeIn4 PBE optimized geometry
data_NaCeIn4
_space_group_name_H-M_alt 'F -4 3 m'
_space_group_IT_number 216
_space_group_name_Hall 'F -4 2 3'
_cell_length_a 8.6972
_cell_length_b 8.6972
_cell_length_c 8.6972
_cell_angle_alpha 90.00
_cell_angle_beta 90.00
_cell_angle_gamma 90.00
loop_
_atom_site_label
_atom_site_type_symbol
_atom_site_fract_x
_atom_site_fract_y
_atom_site_fract_z
Na1 Na 0.0000 0.0000 0.0000
Ce1 Ce 0.2500 0.2500 0.2500
In1 In 0.1248 0.1248 0.6248
# - Size of the total moment: 1.30 μB per formula unit
# - Formation energy from the elements: -0.94 eV/f.u.
# - N(E_F): 1.886 states/eV/atom
# - Raw total energy: -76.60 eV per cell
# - Polymorph energy (0 for the lowest one): 0.081 eV per atom

=====

# RbFeSi2Hg PBE optimized geometry
data_RbFeSi2Hg
_space_group_name_H-M_alt 'P 4/m m m'
_space_group_IT_number 123
_space_group_name_Hall '-P 4 2'
_cell_length_a 5.1159
_cell_length_b 5.1159
_cell_length_c 6.1428
_cell_angle_alpha 90.00
_cell_angle_beta 90.00
_cell_angle_gamma 90.00
loop_
_atom_site_label
_atom_site_type_symbol
_atom_site_fract_x
_atom_site_fract_y
_atom_site_fract_z
Rb1 Rb 0.0000 0.0000 0.0000
Fe1 Fe 0.5000 0.5000 0.0000
Si1 Si 0.0000 0.5000 0.5000
Hg1 Hg 0.0000 0.0000 0.5000
# - Formation energy without anion corrections: 1.453 eV per atom
# - Size of the total moment: 3.08 μB per formula unit
# - N(E_F): 1.268 states/eV/atom
# - Raw total energy: -13.31 eV per cell

=====

# Pm2NdSb3 PBE optimized geometry
data_Pm2NdSb3
_space_group_name_H-M_alt 'I m m m'
_space_group_IT_number 71
_space_group_name_Hall '-I 2 2'
_cell_length_a 4.5063
_cell_length_b 6.3635
_cell_length_c 13.5080
_cell_angle_alpha 90.00
_cell_angle_beta 90.00
_cell_angle_gamma 90.00
loop_
_atom_site_label
_atom_site_type_symbol
_atom_site_fract_x
_atom_site_fract_y
_atom_site_fract_z
Pm1 Pm 0.0000 0.0000 0.1664
Nd1 Nd 0.0000 0.0000 0.5000
Sb1 Sb 0.0000 0.5000 0.1677
Sb2 Sb 0.0000 0.5000 0.5000
# - Formation energy without anion corrections: -1.188 eV per atom
# - Size of the total moment: 0.00 μB per formula unit
# - N(E_F): 0.203 states/eV/atom
# - Raw total energy: -67.53 eV per cell
# - Polymorph energy (0 for the lowest one): 0.004 eV per atom

=====

# K2TlAuO PBE optimized geometry
data_K2TlAuO
_space_group_name_H-M_alt 'P 1 21/m 1'
_space_group_IT_number 11
_cell_length_a 8.3244
_cell_length_b 4.2493
_cell_length_c 8.7875
_cell_angle_alpha 90.00
_cell_angle_beta 103.74
_cell_angle_gamma 90.00
loop_
_space_group_symop_operation_xyz
'x,y,z'
'-x,-y,-z'
'-x,y+1/2,-z'
'x,-y+1/2,z'
loop_
_atom_site_label
_atom_site_type_symbol
_atom_site_fract_x
_atom_site_fract_y
_atom_site_fract_z
K1 K 0.1303 0.2500 0.4224
K2 K 0.2205 0.2500 0.8634
Tl1 Tl 0.4549 0.7500 0.6390
Au1 Au 0.3182 0.7500 0.1883
O1 O 0.1937 0.7500 0.6543
# - Formation energy without anion corrections: -0.671 eV per atom
# - Size of the total moment: 0.00 μB per formula unit
# - Raw total energy: -32.30 eV per cell
# - Polymorph energy (0 for the lowest one): 0.000 eV per atom

=====

# PmTm3Cd PBE optimized geometry
data_PmTm3Cd
_space_group_name_H-M_alt 'C 1 2/m 1'
_space_group_IT_number 12
_cell_length_a 11.1876
_cell_length_b 7.1199
_cell_length_c 8.0713
_cell_angle_alpha 90.00
_cell_angle_beta 110.28
_cell_angle_gamma 90.00
loop_
_space_group_symop_operation_xyz
'x,y,z'
'-x,-y,-z'
'-x,y,-z'
'x,-y,z'
'x+1/2,y+1/2,z'
'-x+1/2,-y+1/2,-z'
'-x+1/2,y+1/2,-z'
'x+1/2,-y+1/2,z'
loop_
_atom_site_label
_atom_site_type_symbol
_atom_site_fract_x
_atom_site_fract_y
_atom_site_fract_z
Pm1 Pm 0.0578 0.0000 0.2348
Tm1 Tm 0.0610 0.5000 0.2422
Tm2 Tm 0.1581 0.2509 0.6323
Cd1 Cd 0.2404 0.5000 0.0003
# - Size of the total moment: 0.00 μB per formula unit
# - Formation energy from the elements: -0.19 eV/f.u.
# - N(E_F): 1.185 states/eV/atom
# - Raw total energy: -77.07 eV per cell
# - Polymorph energy (0 for the lowest one): 0.065 eV per atom

=====

# Mn2ZnRh PBE optimized geometry
data_Mn2ZnRh
_space_group_name_H-M_alt 'A m m 2'
_space_group_IT_number 38
_cell_length_a 4.0437
_cell_length_b 2.6797
_cell_length_c 9.8188
_cell_angle_alpha 90.00
_cell_angle_beta 90.00
_cell_angle_gamma 90.00
loop_
_space_group_symop_operation_xyz
'x,y,z'
'-x,-y,z'
'-x,y,z'
'x,-y,z'
'x,y+1/2,z+1/2'
'-x,-y+1/2,z+1/2'
'-x,y+1/2,z+1/2'
'x,-y+1/2,z+1/2'
loop_
_atom_site_label
_atom_site_type_symbol
_atom_site_fract_x
_atom_site_fract_y
_atom_site_fract_z
Mn1 Mn 0.0000 0.0000 0.0000
Mn2 Mn 0.5000 0.0000 0.1206
Zn1 Zn 0.0000 0.0000 0.7406
Rh1 Rh 0.5000 0.0000 0.3753
# - Size of the total moment: 0.22 μB per formula unit
# - Formation energy from the elements: -0.05 eV/f.u.
# - N(E_F): 1.033 states/eV/atom
# - Raw total energy: -54.03 eV per cell

=====

# Pm4P2Cl PBE optimized geometry
data_Pm4P2Cl
_space_group_name_H-M_alt 'I m m a'
_space_group_IT_number 74
_space_group_name_Hall '-I 2b 2'
_cell_length_a 8.1531
_cell_length_b 8.1820
_cell_length_c 11.5109
_cell_angle_alpha 90.00
_cell_angle_beta 90.00
_cell_angle_gamma 90.00
loop_
_atom_site_label
_atom_site_type_symbol
_atom_site_fract_x
_atom_site_fract_y
_atom_site_fract_z
Pm1 Pm 0.0000 0.0163 0.2451
Pm2 Pm 0.2432 0.2500 0.0056
P1 P 0.0000 0.0000 0.0000
P2 P 0.2500 0.2500 0.2500
Cl1 Cl 0.2500 0.2500 0.7500
# - Formation energy without anion corrections: -1.368 eV per atom
# - Size of the total moment: 0.00 μB per formula unit
# - N(E_F): 0.629 states/eV/atom
# - Raw total energy: -164.98 eV per cell

=====

# Sr2NdGaSe5 PBE optimized geometry
data_Sr2NdGaSe5
_space_group_name_H-M_alt 'C m c 21'
_space_group_IT_number 36
_cell_length_a 4.1668
_cell_length_b 19.0925
_cell_length_c 12.8752
_cell_angle_alpha 90.00
_cell_angle_beta 90.00
_cell_angle_gamma 90.00
loop_
_space_group_symop_operation_xyz
'x,y,z'
'-x,-y,z+1/2'
'-x,y,z'
'x,-y,z+1/2'
'x+1/2,y+1/2,z'
'-x+1/2,-y+1/2,z+1/2'
'-x+1/2,y+1/2,z'
'x+1/2,-y+1/2,z+1/2'
loop_
_atom_site_label
_atom_site_type_symbol
_atom_site_fract_x
_atom_site_fract_y
_atom_site_fract_z
Sr1 Sr 0.0000 0.1162 0.0000
Sr2 Sr 0.0000 0.1204 0.6433
Nd1 Nd 0.0000 0.2073 0.3436
Ga1 Ga 0.0000 0.4425 0.7478
Se1 Se 0.0000 0.0427 0.3565
Se2 Se 0.0000 0.2949 0.0002
Se3 Se 0.0000 0.3198 0.6800
Se4 Se 0.0000 0.3569 0.3241
Se5 Se 0.0000 0.4981 0.0850
# - Formation energy without anion corrections: -1.607 eV per atom
# - Size of the total moment: 0.00 μB per formula unit
# - Raw total energy: -172.17 eV per cell

=====

# CaZnOs3 PBE optimized geometry
data_CaZnOs3
_space_group_name_H-M_alt 'P m -3 m'
_space_group_IT_number 221
_space_group_name_Hall '-P 4 2 3'
_cell_length_a 4.6628
_cell_length_b 4.6628
_cell_length_c 4.6628
_cell_angle_alpha 90.00
_cell_angle_beta 90.00
_cell_angle_gamma 90.00
loop_
_atom_site_label
_atom_site_type_symbol
_atom_site_fract_x
_atom_site_fract_y
_atom_site_fract_z
Ca1 Ca 0.0000 0.0000 0.0000
Zn1 Zn 0.5000 0.5000 0.5000
Os1 Os 0.0000 0.0000 0.5000
# - Size of the total moment: 2.07 μB per formula unit
# - Formation energy from the elements: 15.56 eV/f.u.
# - N(E_F): 1.311 states/eV/atom
# - Raw total energy: -21.40 eV per cell
# - Polymorph energy (0 for the lowest one): 1.495 eV per atom

=====

# Ca3Sc3ZnSe8 PBE optimized geometry
data_Ca3Sc3ZnSe8
_space_group_name_H-M_alt 'R -3 m'
_space_group_IT_number 166
_space_group_name_Hall '-R 3 2"'
_cell_length_a 7.9109
_cell_length_b 7.9109
_cell_length_c 20.1142
_cell_angle_alpha 90.00
_cell_angle_beta 90.00
_cell_angle_gamma 120.00
loop_
_atom_site_label
_atom_site_type_symbol
_atom_site_fract_x
_atom_site_fract_y
_atom_site_fract_z
Ca1 Ca 0.0000 0.5000 0.0000
Sc1 Sc 0.0000 0.5000 0.5000
Zn1 Zn 0.0000 0.0000 0.5000
Se1 Se 0.0000 0.0000 0.2438
Se2 Se 0.0001 0.5001 0.2416
# - Formation energy without anion corrections: -1.616 eV per atom
# - Size of the total moment: 0.00 μB per formula unit
# - N(E_F): 0.270 states/eV/atom
# - Raw total energy: -235.19 eV per cell

=====

# KCaBe2W PBE optimized geometry
data_KCaBe2W
_space_group_name_H-M_alt 'P 4/m m m'
_space_group_IT_number 123
_space_group_name_Hall '-P 4 2'
_cell_length_a 4.7966
_cell_length_b 4.7966
_cell_length_c 4.8184
_cell_angle_alpha 90.00
_cell_angle_beta 90.00
_cell_angle_gamma 90.00
loop_
_atom_site_label
_atom_site_type_symbol
_atom_site_fract_x
_atom_site_fract_y
_atom_site_fract_z
K1 K 0.0000 0.0000 0.0000
Ca1 Ca 0.0000 0.0000 0.5000
Be1 Be 0.0000 0.5000 0.5000
W1 W 0.5000 0.5000 0.0000
# - Size of the total moment: 0.00 μB per formula unit
# - Formation energy from the elements: 13.13 eV/f.u.
# - N(E_F): 1.384 states/eV/atom
# - Raw total energy: -10.38 eV per cell